# 1
# PBE Y2AgTe, optimized geometry
# Total magnetic moment = 0.00 μB/cell
# D(E_F) = 4.91 states/eV/cell
# VASP energy = -19.0 eV/cell
# Density = 6.550 g/cm³
data_Y2AgTe
_chemical_formula_sum 'Y2 Ag1 Te1'
_symmetry_space_group_name_H-M 'P 1'
_symmetry_Int_Tables_number 1
_cell_length_a 5.292
_cell_length_b 5.292
_cell_length_c 5.292
_cell_angle_alpha 60.00
_cell_angle_beta 60.00
_cell_angle_gamma 60.00
loop_
_symmetry_equiv_pos_as_xyz
'x,y,z'
loop_
_atom_site_label
_atom_site_type_symbol
_atom_site_fract_x
_atom_site_fract_y
_atom_site_fract_z
Y1 Y 0.000 0.000 0.000
Y2 Y 0.250 0.250 0.250
Ag1 Ag 0.500 0.500 0.500
Te1 Te 0.750 0.750 0.750

---

# 2
# PBE Y5AgTe4, optimized geometry
# Total magnetic moment = 0.00 μB/cell
# D(E_F) = 5.95 states/eV/cell
# VASP energy = -58.9 eV/cell
# Density = 6.087 g/cm³
data_Y5AgTe4
_chemical_formula_sum 'Y5 Ag1 Te4'
_symmetry_space_group_name_H-M 'P 1'
_symmetry_Int_Tables_number 1
_cell_length_a 7.517
_cell_length_b 7.517
_cell_length_c 7.517
_cell_angle_alpha 99.70
_cell_angle_beta 99.70
_cell_angle_gamma 131.52
loop_
_symmetry_equiv_pos_as_xyz
'x,y,z'
loop_
_atom_site_label
_atom_site_type_symbol
_atom_site_fract_x
_atom_site_fract_y
_atom_site_fract_z
Y1 Y 0.000 0.000 0.000
Y2 Y 0.213 0.600 0.813
Y3 Y 0.400 0.213 0.613
Y4 Y 0.600 0.787 0.387
Y5 Y 0.787 0.400 0.187
Ag1 Ag 0.500 0.500 0.000
Te1 Te 0.093 0.305 0.398
Te2 Te 0.305 0.907 0.212
Te3 Te 0.695 0.093 0.788
Te4 Te 0.907 0.695 0.602

---

# 3
# PBE Y4AgTe3, optimized geometry
# Total magnetic moment = 0.00 μB/cell
# D(E_F) = 5.56 states/eV/cell
# VASP energy = -46.5 eV/cell
# Density = 6.075 g/cm³
data_Y4AgTe3
_chemical_formula_sum 'Y4 Ag1 Te3'
_symmetry_space_group_name_H-M 'P 1'
_symmetry_Int_Tables_number 1
_cell_length_a 7.586
_cell_length_b 7.586
_cell_length_c 4.232
_cell_angle_alpha 90.00
_cell_angle_beta 90.00
_cell_angle_gamma 108.23
loop_
_symmetry_equiv_pos_as_xyz
'x,y,z'
loop_
_atom_site_label
_atom_site_type_symbol
_atom_site_fract_x
_atom_site_fract_y
_atom_site_fract_z
Y1 Y 0.236 0.236 0.500
Y2 Y 0.244 0.756 0.000
Y3 Y 0.756 0.244 0.000
Y4 Y 0.764 0.764 0.500
Ag1 Ag 0.000 0.000 0.000
Te1 Te 0.000 0.500 0.500
Te2 Te 0.500 0.000 0.500
Te3 Te 0.500 0.500 0.000

---

# 4
# PBE YAgTe3, optimized geometry
# Total magnetic moment = 0.00 μB/cell
# E above lowest polymorph = 0.598 eV per atom
# D(E_F) = 3.19 states/eV/cell
# VASP energy = -19.0 eV/cell
# Density = 6.139 g/cm³
data_YAgTe3
_chemical_formula_sum 'Y1 Ag1 Te3'
_symmetry_space_group_name_H-M 'P 1'
_symmetry_Int_Tables_number 1
_cell_length_a 5.392
_cell_length_b 5.392
_cell_length_c 5.392
_cell_angle_alpha 90.00
_cell_angle_beta 90.00
_cell_angle_gamma 90.00
loop_
_symmetry_equiv_pos_as_xyz
'x,y,z'
loop_
_atom_site_label
_atom_site_type_symbol
_atom_site_fract_x
_atom_site_fract_y
_atom_site_fract_z
Y1 Y 0.000 0.000 0.000
Ag1 Ag 0.500 0.500 0.500
Te1 Te 0.000 0.500 0.500
Te2 Te 0.500 0.000 0.500
Te3 Te 0.500 0.500 0.000

---

# 5
# PBE YAgTe, optimized geometry
# Total magnetic moment = 0.00 μB/cell
# E above lowest polymorph = 0.004 eV per atom
# D(E_F) = 1.27 states/eV/cell
# VASP energy = -14.3 eV/cell
# Density = 7.087 g/cm³
data_YAgTe
_chemical_formula_sum 'Y1 Ag1 Te1'
_symmetry_space_group_name_H-M 'P 1'
_symmetry_Int_Tables_number 1
_cell_length_a 5.683
_cell_length_b 5.683
_cell_length_c 5.683
_cell_angle_alpha 139.73
_cell_angle_beta 139.73
_cell_angle_gamma 58.27
loop_
_symmetry_equiv_pos_as_xyz
'x,y,z'
loop_
_atom_site_label
_atom_site_type_symbol
_atom_site_fract_x
_atom_site_fract_y
_atom_site_fract_z
Y1 Y 0.000 0.000 0.000
Ag1 Ag 0.334 0.334 0.000
Te1 Te 0.665 0.665 0.000

---

# 6
# PBE Y2Ag2Te, optimized geometry
# Total magnetic moment = 0.00 μB/cell
# E above lowest polymorph = 0.000 eV per atom
# D(E_F) = 7.47 states/eV/cell
# VASP energy = -48.3 eV/cell
# Density = 6.887 g/cm³
data_Y2Ag2Te
_chemical_formula_sum 'Y4 Ag4 Te2'
_symmetry_space_group_name_H-M 'P 1'
_symmetry_Int_Tables_number 1
_cell_length_a 7.886
_cell_length_b 7.886
_cell_length_c 4.041
_cell_angle_alpha 90.00
_cell_angle_beta 90.00
_cell_angle_gamma 90.00
loop_
_symmetry_equiv_pos_as_xyz
'x,y,z'
loop_
_atom_site_label
_atom_site_type_symbol
_atom_site_fract_x
_atom_site_fract_y
_atom_site_fract_z
Y1 Y 0.168 0.332 0.000
Y2 Y 0.332 0.832 0.000
Y3 Y 0.668 0.168 0.000
Y4 Y 0.832 0.668 0.000
Ag1 Ag 0.125 0.625 0.500
Ag2 Ag 0.375 0.125 0.500
Ag3 Ag 0.625 0.875 0.500
Ag4 Ag 0.875 0.375 0.500
Te1 Te 0.000 0.000 0.500
Te2 Te 0.500 0.500 0.500

---

> D(E_F) of number 5 (YAgTe)?

1.27 states/eV/cell